a.
# GGA-PBE CaInCoB2, relaxed
# Total magnetic moment ... 0.0 μB per cell
data_CaInCoB2
_cell_length_a 4.526
_cell_length_b 4.526
_cell_length_c 5.688
_cell_angle_alpha 90.00
_cell_angle_beta 90.00
_cell_angle_gamma 90.00
_space_group_name_H-M_alt 'P 4/m m m'
_space_group_IT_number 123
_space_group_name_Hall '-P 4 2'
loop_
_atom_site_label
_atom_site_type_symbol
_atom_site_fract_x
_atom_site_fract_y
_atom_site_fract_z
Ca1 Ca 0.000 0.000 0.000
In1 In 0.000 0.000 0.500
Co1 Co 0.500 0.500 0.500
B1 B 0.000 0.500 0.000

---

b.
# GGA-PBE CaInCoB2, relaxed
# Total magnetic moment ... 1.1 μB per cell
data_CaInCoB2
_cell_length_a 4.477
_cell_length_b 4.477
_cell_length_c 4.829
_cell_angle_alpha 90.00
_cell_angle_beta 90.00
_cell_angle_gamma 90.00
_space_group_name_H-M_alt 'P 4/m m m'
_space_group_IT_number 123
_space_group_name_Hall '-P 4 2'
loop_
_atom_site_label
_atom_site_type_symbol
_atom_site_fract_x
_atom_site_fract_y
_atom_site_fract_z
Ca1 Ca 0.000 0.000 0.000
In1 In 0.500 0.500 0.500
Co1 Co 0.500 0.500 0.000
B1 B 0.000 0.500 0.500

---

The computed energies, referenced to the most stable structure and given in meV per atom, are a 1099; b 0.

---

a.
# GGA-PBE Ca2CoBSe, relaxed
# Total magnetic moment ... 1.4 μB per cell
data_Ca2CoBSe
_cell_length_a 5.223
_cell_length_b 5.223
_cell_length_c 4.175
_cell_angle_alpha 90.00
_cell_angle_beta 90.00
_cell_angle_gamma 90.00
_space_group_name_H-M_alt 'P 4/m m m'
_space_group_IT_number 123
_space_group_name_Hall '-P 4 2'
loop_
_atom_site_label
_atom_site_type_symbol
_atom_site_fract_x
_atom_site_fract_y
_atom_site_fract_z
Ca1 Ca 0.000 0.500 0.000
Co1 Co 0.000 0.000 0.500
B1 B 0.500 0.500 0.000
Se1 Se 0.500 0.500 0.500

---

b.
# GGA-PBE Ca2CoBSe, relaxed
# Total magnetic moment ... 0.9 μB per cell
data_Ca2CoBSe
_cell_length_a 5.205
_cell_length_b 5.205
_cell_length_c 3.778
_cell_angle_alpha 90.00
_cell_angle_beta 90.00
_cell_angle_gamma 90.00
_space_group_name_H-M_alt 'P 4/m m m'
_space_group_IT_number 123
_space_group_name_Hall '-P 4 2'
loop_
_atom_site_label
_atom_site_type_symbol
_atom_site_fract_x
_atom_site_fract_y
_atom_site_fract_z
Ca1 Ca 0.000 0.500 0.000
Co1 Co 0.000 0.000 0.500
B1 B 0.000 0.000 0.000
Se1 Se 0.500 0.500 0.500

---

The computed energies, referenced to the most stable structure and given in meV per atom, are a 870; b 0.

---

a.
# GGA-PBE CaCrB2, relaxed
# Total magnetic moment ... 7.7 μB per cell
data_CaCrB2
_cell_length_a 4.288
_cell_length_b 4.288
_cell_length_c 13.760
_cell_angle_alpha 90.00
_cell_angle_beta 90.00
_cell_angle_gamma 90.00
_space_group_name_H-M_alt 'I 41/a m d'
_space_group_IT_number 141
loop_
_space_group_symop_operation_xyz
'x,y,z'
'-x,-y,-z'
'-y+1/4,x+3/4,z+1/4'
'y+1/4,-x+3/4,-z+1/4'
'-x+1/2,-y,z+1/2'
'x+1/2,y,-z+1/2'
'y+1/4,-x+1/4,z+3/4'
'-y+1/4,x+1/4,-z+3/4'
'x,-y,-z'
'-x,y,z'
'-y+1/4,-x+1/4,-z+3/4'
'y+1/4,x+1/4,z+3/4'
'-x+1/2,y,-z+1/2'
'x+1/2,-y,z+1/2'
'y+1/4,x+3/4,-z+1/4'
'-y+1/4,-x+3/4,z+1/4'
'x+1/2,y+1/2,z+1/2'
'-x+1/2,-y+1/2,-z+1/2'
'-y+3/4,x+1/4,z+3/4'
'y+3/4,-x+1/4,-z+3/4'
'-x,-y+1/2,z'
'x,y+1/2,-z'
'y+3/4,-x+3/4,z+1/4'
'-y+3/4,x+3/4,-z+1/4'
'x+1/2,-y+1/2,-z+1/2'
'-x+1/2,y+1/2,z+1/2'
'-y+3/4,-x+3/4,-z+1/4'
'y+3/4,x+3/4,z+1/4'
'-x,y+1/2,-z'
'x,-y+1/2,z'
'y+3/4,x+1/4,-z+3/4'
'-y+3/4,-x+1/4,z+3/4'
loop_
_atom_site_label
_atom_site_type_symbol
_atom_site_fract_x
_atom_site_fract_y
_atom_site_fract_z
Ca1 Ca 0.000 0.250 0.375
Cr1 Cr 0.000 0.250 0.875
B1 B 0.000 0.000 0.000

---

b.
# GGA-PBE CaCrB2, relaxed
# Total magnetic moment ... 0.0 μB per cell
data_CaCrB2
_cell_length_a 5.770
_cell_length_b 5.770
_cell_length_c 5.770
_cell_angle_alpha 90.00
_cell_angle_beta 90.00
_cell_angle_gamma 90.00
_space_group_name_H-M_alt 'F m -3 m'
_space_group_IT_number 225
_space_group_name_Hall '-F 4 2 3'
loop_
_atom_site_label
_atom_site_type_symbol
_atom_site_fract_x
_atom_site_fract_y
_atom_site_fract_z
Ca1 Ca 0.000 0.000 0.000
Cr1 Cr 0.000 0.000 0.500
B1 B 0.250 0.250 0.250

---

The computed energies, referenced to the most stable structure and given in meV per atom, are a 0; b 507.

---

a.
# GGA-PBE CsCaB3, relaxed
# Total magnetic moment ... 2.9 μB per cell
data_CsCaB3
_cell_length_a 5.246
_cell_length_b 5.246
_cell_length_c 5.246
_cell_angle_alpha 90.00
_cell_angle_beta 90.00
_cell_angle_gamma 90.00
_space_group_name_H-M_alt 'P m -3 m'
_space_group_IT_number 221
_space_group_name_Hall '-P 4 2 3'
loop_
_atom_site_label
_atom_site_type_symbol
_atom_site_fract_x
_atom_site_fract_y
_atom_site_fract_z
Cs1 Cs 0.000 0.000 0.000
Ca1 Ca 0.500 0.500 0.500
B1 B 0.000 0.500 0.500

---

b.
# GGA-PBE CsCaB3, relaxed
# Total magnetic moment ... 0.2 μB per cell
data_CsCaB3
_cell_length_a 4.911
_cell_length_b 4.911
_cell_length_c 4.911
_cell_angle_alpha 90.00
_cell_angle_beta 90.00
_cell_angle_gamma 90.00
_space_group_name_H-M_alt 'P m -3 m'
_space_group_IT_number 221
_space_group_name_Hall '-P 4 2 3'
loop_
_atom_site_label
_atom_site_type_symbol
_atom_site_fract_x
_atom_site_fract_y
_atom_site_fract_z
Cs1 Cs 0.000 0.000 0.000
Ca1 Ca 0.500 0.500 0.500
B1 B 0.000 0.000 0.500

---

The computed energies, referenced to the most stable structure and given in meV per atom, are a 0; b 437.

---

a.
# GGA-PBE CaCuB2, relaxed
# Total magnetic moment ... 0.0 μB per cell
data_CaCuB2
_cell_length_a 3.888
_cell_length_b 3.888
_cell_length_c 14.370
_cell_angle_alpha 90.00
_cell_angle_beta 90.00
_cell_angle_gamma 90.00
_space_group_name_H-M_alt 'I 41/a m d'
_space_group_IT_number 141
loop_
_space_group_symop_operation_xyz
'x,y,z'
'-x,-y,-z'
'-y+1/4,x+3/4,z+1/4'
'y+1/4,-x+3/4,-z+1/4'
'-x+1/2,-y,z+1/2'
'x+1/2,y,-z+1/2'
'y+1/4,-x+1/4,z+3/4'
'-y+1/4,x+1/4,-z+3/4'
'x,-y,-z'
'-x,y,z'
'-y+1/4,-x+1/4,-z+3/4'
'y+1/4,x+1/4,z+3/4'
'-x+1/2,y,-z+1/2'
'x+1/2,-y,z+1/2'
'y+1/4,x+3/4,-z+1/4'
'-y+1/4,-x+3/4,z+1/4'
'x+1/2,y+1/2,z+1/2'
'-x+1/2,-y+1/2,-z+1/2'
'-y+3/4,x+1/4,z+3/4'
'y+3/4,-x+1/4,-z+3/4'
'-x,-y+1/2,z'
'x,y+1/2,-z'
'y+3/4,-x+3/4,z+1/4'
'-y+3/4,x+3/4,-z+1/4'
'x+1/2,-y+1/2,-z+1/2'
'-x+1/2,y+1/2,z+1/2'
'-y+3/4,-x+3/4,-z+1/4'
'y+3/4,x+3/4,z+1/4'
'-x,y+1/2,-z'
'x,-y+1/2,z'
'y+3/4,x+1/4,-z+3/4'
'-y+3/4,-x+1/4,z+3/4'
loop_
_atom_site_label
_atom_site_type_symbol
_atom_site_fract_x
_atom_site_fract_y
_atom_site_fract_z
Ca1 Ca 0.000 0.250 0.375
Cu1 Cu 0.000 0.250 0.875
B1 B 0.000 0.000 0.000

---

b.
# GGA-PBE CaCuB2, relaxed
# Total magnetic moment ... 0.0 μB per cell
data_CaCuB2
_cell_length_a 5.830
_cell_length_b 5.830
_cell_length_c 5.830
_cell_angle_alpha 90.00
_cell_angle_beta 90.00
_cell_angle_gamma 90.00
_space_group_name_H-M_alt 'F m -3 m'
_space_group_IT_number 225
_space_group_name_Hall '-F 4 2 3'
loop_
_atom_site_label
_atom_site_type_symbol
_atom_site_fract_x
_atom_site_fract_y
_atom_site_fract_z
Ca1 Ca 0.000 0.000 0.000
Cu1 Cu 0.000 0.000 0.500
B1 B 0.250 0.250 0.250

---

The computed energies, referenced to the most stable structure and given in meV per atom, are a 0; b 630.

---

a.
# GGA-PBE CaCu3B, relaxed
# Total magnetic moment ... 0.0 μB per cell
data_CaCu3B
_cell_length_a 4.153
_cell_length_b 4.153
_cell_length_c 4.153
_cell_angle_alpha 90.00
_cell_angle_beta 90.00
_cell_angle_gamma 90.00
_space_group_name_H-M_alt 'P m -3 m'
_space_group_IT_number 221
_space_group_name_Hall '-P 4 2 3'
loop_
_atom_site_label
_atom_site_type_symbol
_atom_site_fract_x
_atom_site_fract_y
_atom_site_fract_z
Ca1 Ca 0.000 0.000 0.000
Cu1 Cu 0.000 0.500 0.500
B1 B 0.500 0.500 0.500

---

b.
# GGA-PBE CaCu3B, relaxed
# Total magnetic moment ... 0.0 μB per cell
data_CaCu3B
_cell_length_a 5.115
_cell_length_b 5.115
_cell_length_c 5.115
_cell_angle_alpha 90.00
_cell_angle_beta 90.00
_cell_angle_gamma 90.00
_space_group_name_H-M_alt 'P m -3 m'
_space_group_IT_number 221
_space_group_name_Hall '-P 4 2 3'
loop_
_atom_site_label
_atom_site_type_symbol
_atom_site_fract_x
_atom_site_fract_y
_atom_site_fract_z
Ca1 Ca 0.000 0.000 0.000
Cu1 Cu 0.000 0.000 0.500
B1 B 0.500 0.500 0.500

---

The computed energies, referenced to the most stable structure and given in meV per atom, are a 0; b 2132.